5
Lattice="4.3691 0.0000 0.0000 0.0000 4.3691 0.0000 0.0000 0.0000 4.3691" Properties=species:S:1:pos:R:3 comment="PBE LaBe3Pd, relaxed" e_form_ev_per_atom=-0.1335 final_energy_ev_per_atom=-4.393 e_above_lowest_polymorph_mev_per_atom=0 pbc="T T T"
Be 2.1845 0.0000 0.0000
Be 0.0000 2.1845 0.0000
La 2.1845 2.1845 2.1845
Be 0.0000 0.0000 2.1845
Pd 0.0000 0.0000 0.0000